An optimized crystal structure of GaBF2. Source: the Alexandria database, functional GGA-PBE.

Properties
The final energy is -4.198 eV per atom. The energy above the lowest structure with this stoichiometry comes out at 0.00 eV/f.u. As for the density: 3.1 g cm⁻³.

Unit cell a=9.784 b=9.784 c=9.784 alpha=16.32 beta=16.32 gamma=16.32
Sites, in units of the cell vectors:
Ga: 0.000 0.000 0.000
B: 0.500 0.500 0.500
F: 0.453 0.453 0.453
F: 0.547 0.547 0.547